Record 1
The following is a DFT calculation (GGA-PBE) of crystalline Sr2ScSbS6 at its relaxed geometry.

Cell: 6.835 7.111 9.803 Å, 90.00 90.01 90.00°
Sites, in units of the cell vectors:
S: 0.696 0.306 0.946
S: 0.603 0.015 0.252
S: 0.689 0.304 0.548
S: 0.804 0.806 0.554
S: 0.897 0.515 0.248
S: 0.189 0.196 0.048
S: 0.397 0.985 0.748
S: 0.811 0.804 0.952
S: 0.304 0.694 0.054
S: 0.196 0.194 0.446
S: 0.311 0.696 0.452
S: 0.103 0.485 0.752
Sc: 0.000 0.500 0.500
Sc: 0.500 0.000 0.000
Sr: 0.475 0.417 0.250
Sr: 0.025 0.917 0.250
Sr: 0.525 0.583 0.750
Sr: 0.975 0.083 0.750
Sb: 0.500 0.000 0.500
Sb: 0.000 0.500 0.000

Its formation energy (no corrections) is -126.1 kJ per mole of atoms. The calculation puts the total magnetization at 0.000 μB/f.u. The calculation puts the total energy at -5.1656 eV/atom.

Record 2
The following is a DFT calculation (GGA-PBE) of crystalline BaLaScO4 at its relaxed geometry.

Cell: 4.117 4.117 7.122 Å, 106.80 106.80 90.00°
Sites, in units of the cell vectors:
O: 0.988 0.488 0.976
O: 0.488 0.988 0.976
O: 0.837 0.837 0.675
O: 0.180 0.180 0.360
La: 0.361 0.361 0.721
Sc: 0.999 0.999 0.999
Ba: 0.646 0.646 0.293

Its formation energy (no corrections) is -309.1 kJ per mole of atoms. The calculation puts the total magnetization at 0.000 μB/f.u. The calculation puts the total energy at -7.9200 eV/atom.